(one)
4
Lattice="4.323 0.000 0.000 0.000 4.323 0.000 0.000 0.000 4.479" Properties=species:S:1:pos:R:3 comment="ZrTlCd2 (GGA-PBEsol, optimized geometry)" magnetic_moment_mub_per_atom=0.00 rho_g_cm3=10.32 crystal_system=tetragonal space_group=P4/mmm pbc="T T T"
Zr 0.000 0.000 2.239
Cd 2.162 0.000 0.000
Tl 2.162 2.162 2.239
Cd 0.000 2.162 0.000



(two)
4
Lattice="3.041 0.000 0.000 0.000 5.390 -0.024 0.000 -1.978 5.289" Properties=species:S:1:pos:R:3 comment="ZrTlCd2 (GGA-PBEsol, optimized geometry)" magnetic_moment_mub_per_atom=0.00 rho_g_cm3=9.98 crystal_system=monoclinic space_group=P2/m pbc="T T T"
Cd 0.000 0.000 0.000
Tl 1.521 -0.989 2.644
Zr 0.000 1.706 2.633
Cd 1.521 2.695 -0.012



(three)
4
Lattice="-2.460 -0.448 1.868 1.819 -3.887 1.463 3.934 3.222 3.668" Properties=species:S:1:pos:R:3 comment="ZrTlCd2 (GGA-PBEsol, optimized geometry)" magnetic_moment_mub_per_atom=0.00 rho_g_cm3=9.98 crystal_system=monoclinic space_group=Pm pbc="T T T"
Cd 0.404 -1.466 2.626
Zr 3.081 0.293 3.971
Tl 0.345 1.376 3.226
Cd -2.261 -0.376 1.812



Quick ranking, most stable first: (one), (two), (three).